An optimized crystal structure of Pm5Nd3Er4. Source: Alexandria, functional PBE-GGA.

Calculated formation energy in eV/atom: 0.016
Distance to the lowest polymorph of the same formula in meV per atom: 0

Cell and atoms, written as POSCAR:
```
Pm5Nd3Er4
1.0
6.9943 -0.6492 1.6391
-5.2381 7.9395 -6.3132
4.3599 -4.4479 11.4290
Pm Nd Er
5 3 4
Direct
0.3351 0.6681 0.8331
0.5000 0.0000 0.5000
0.7480 0.5021 0.0016
0.2520 0.4979 0.9984
0.6649 0.3319 0.1669
0.5874 0.1696 0.3342
0.0000 0.0000 0.5000
0.4126 0.8304 0.6658
0.9177 0.8325 0.6677
0.8358 0.6699 0.8344
0.1642 0.3301 0.1656
0.0823 0.1675 0.3323
```